CrCoOs | meta-GGA SCAN | single point on PBEsol structure

## Properties
Space-group type = F-43m (216)
Energy above the most stable polymorph in this dataset = 527 meV/atom
Crystal system = cubic
ρ = 11.7 g/cm3
Formation energy = 670 meV per atom

abc: 3.922 3.922 3.922
angles: 60.00 60.00 60.00
Last column: magnetic moment on the atom in μB.
Sites, in units of the cell vectors:
Cr 0.500 0.500 0.500  2.11
Os 0.250 0.250 0.250  -0.67
Co 0.000 0.000 0.000  -1.55


CrCo2OsW | meta-GGA SCAN | single point on PBEsol structure

## Properties
Space-group type = P4/mmm (123)
Crystal system = tetragonal
ρ = 11.4 g/cm3
Formation energy = 2118 meV per atom

abc: 4.268 4.268 4.367
angles: 90.00 90.00 90.00
Last column: magnetic moment on the atom in μB.
Sites, in units of the cell vectors:
Os 0.500 0.500 0.500  1.37
Cr 0.000 0.000 0.500  2.51
W 0.000 0.000 0.000  -0.48
Co 0.500 0.000 0.000  1.13
Co 0.000 0.500 0.000  1.13


CrCo2P | meta-GGA SCAN | single point on PBEsol structure

## Properties
Space-group type = Pmm2 (25)
Crystal system = orthorhombic
ρ = 8.1 g/cm3
Formation energy = 108 meV per atom

abc: 2.559 3.287 4.923
angles: 90.00 90.00 90.00
Sites, in units of the cell vectors:
Co 0.000 0.000 0.979
Co 0.500 0.500 0.258
P 0.500 0.500 0.777
Cr 0.000 0.000 0.486


CrCoP | meta-GGA SCAN | single point on PBEsol structure

## Properties
Space-group type = Pnma (62)
Crystal system = orthorhombic
ρ = 7.3 g/cm3
Formation energy = -576 meV per atom

abc: 3.480 5.624 6.580
angles: 90.00 90.00 90.00
Last column: magnetic moment on the atom in μB.
Sites, in units of the cell vectors:
Co 0.750 0.856 0.563  -0.11
P 0.750 0.740 0.877  -0.10
P 0.250 0.760 0.377  -0.10
Co 0.250 0.644 0.063  -0.11
Cr 0.250 0.527 0.673  2.23
Co 0.250 0.144 0.437  -0.11
Co 0.750 0.356 0.937  -0.11
P 0.250 0.260 0.123  -0.10
Cr 0.750 0.473 0.327  2.23
Cr 0.250 0.027 0.827  2.23
P 0.750 0.240 0.623  -0.10
Cr 0.750 0.973 0.173  2.23


CrCo2P | meta-GGA SCAN | single point on PBEsol structure

## Properties
Space-group type = I-4m2 (119)
Crystal system = tetragonal
ρ = 8.1 g/cm3
Formation energy = -96 meV per atom

abc: 3.475 3.475 4.194
angles: 114.48 114.48 90.00
Last column: magnetic moment on the atom in μB.
Sites, in units of the cell vectors:
Co 0.750 0.250 0.500  -0.83
P 0.250 0.750 0.500  -0.07
Co 0.000 0.000 0.000  0.05
Cr 0.500 0.500 0.000  2.11


CrCo2P | meta-GGA SCAN | single point on PBEsol structure

## Properties
Space-group type = Pmmm (47)
Crystal system = orthorhombic
ρ = 8.0 g/cm3
Formation energy = 56 meV per atom

abc: 2.573 3.388 4.758
angles: 90.00 90.00 90.00
Sites, in units of the cell vectors:
Co 0.000 0.000 0.750
Co 0.000 0.000 0.250
P 0.500 0.500 0.500
Cr 0.500 0.500 0.000


| no. | total magnetic moment (Bohr magnetons per cell) | calculated volume (Å³/cell) | uncorrected energy (eV per atom) |
| --- | --- | --- | --- |
| 1 | 0.01 | 42.7 | -35.187 |
| 2 | 5.91 | 79.5 | -36.794 |
| 3 | 0.00 | 41.4 | -15.740 |
| 4 | 8.19 | 128.8 | -15.939 |
| 5 | 1.32 | 41.0 | -15.944 |
| 6 | 0.01 | 41.5 | -15.792 |